DFT (PBE) results for LiAl2AuSe4 after structural relaxation.

## Properties
- raw total energy (eV/cell) = -32.78

Cell and atoms, written as POSCAR:
```
LiAl2AuSe4
1.0
-0.3162 1.3919 -5.3992
-1.0390 -5.3277 -1.3130
-5.3943 2.9991 3.9778
Al Se Li Au
2 4 1 1
Cartesian
-3.1946 1.2117 -2.3887
-3.5560 -2.1482 -0.3455
-4.7592 -0.1956 -1.1636
-2.4927 -3.3120 -2.2013
-4.1063 1.7012 2.0712
-2.1436 -0.0665 -4.1748
-0.6821 -1.9674 -3.3560
-6.7449 -0.9374 -2.7347
```

DFT (PBE) results for LiSm2Al4Au3 after structural relaxation.

## Properties
- raw total energy (eV/cell) = -42.61

Cell and atoms, written as POSCAR:
```
LiSm2Al4Au3
1.0
-4.0938 -0.5667 -1.3006
1.3299 -0.1494 -4.1208
1.2191 -10.5914 0.7774
Li Au Al Sm
1 3 4 2
Cartesian
-0.7724 -5.6537 -2.3220
0.6095 -5.2957 0.3887
0.8274 -1.4858 -1.9568
-0.9902 -9.4636 0.0235
1.1136 -3.9724 -1.7743
0.0000 0.0000 0.0000
-1.2764 -6.9770 -0.1590
-1.3819 -0.3580 -2.7107
1.5791 -8.0169 -1.4774
-1.7420 -2.9325 -0.4559
```

DFT (PBE) results for Li2SmAl2Au2 after structural relaxation.

## Properties
- raw total energy (eV/cell) = -26.68

Cell and atoms, written as POSCAR:
```
Li2SmAl2Au2
1.0
-2.4931 -0.1636 3.7319
4.3851 -1.0198 0.1824
-0.4301 7.9056 0.0592
Au Li Sm Al
2 2 1 2
Cartesian
1.2805 5.4999 1.0965
0.1814 1.2223 2.8771
0.7592 3.6525 3.3696
0.7027 3.0697 0.6040
0.0000 0.0000 0.0000
-1.1194 5.3280 2.1881
2.5813 1.3942 1.7855
```

DFT (PBE) results for LiSmAlAu2 after structural relaxation.

## Properties
- raw total energy (eV/cell) = -20.21

Cell and atoms, written as POSCAR:
```
LiSmAlAu2
1.0
4.0186 0.0000 0.0000
0.0000 4.0186 0.0000
-2.0093 -2.0093 6.2495
Al Au Li Sm
1 2 1 1
Cartesian
2.0093 0.0000 3.1247
2.0093 2.0093 1.4314
0.0000 0.0000 4.8180
0.0000 2.0093 3.1247
0.0000 0.0000 0.0000
```

Which formula does entry 3 have?
Li2SmAl2Au2

What did the fourth record say?
DFT (PBE) results for LiSmAlAu2 after structural relaxation.

## Properties
- raw total energy (eV/cell) = -20.21

Cell and atoms, written as POSCAR:
```
LiSmAlAu2
1.0
4.0186 0.0000 0.0000
0.0000 4.0186 0.0000
-2.0093 -2.0093 6.2495
Al Au Li Sm
1 2 1 1
Cartesian
2.0093 0.0000 3.1247
2.0093 2.0093 1.4314
0.0000 0.0000 4.8180
0.0000 2.0093 3.1247
0.0000 0.0000 0.0000
```